Record 1
K3Ac3SmO8 | the Alexandria database | PBE-GGA | optimized geometry; E_tot = -98.43 eV per cell; SG = R-3m
1.0
3.802 2.195 6.367
-3.802 2.195 6.367
0.000 -4.390 6.367
K Ac Sm O
3 3 1 8
direct
0.000 0.500 0.500 K
0.500 0.000 0.500 K
0.500 0.500 0.000 K
0.000 0.000 0.500 Ac
0.000 0.500 0.000 Ac
0.500 0.000 0.000 Ac
0.500 0.500 0.500 Sm
0.232 0.232 0.232 O
0.246 0.717 0.717 O
0.283 0.283 0.754 O
0.283 0.754 0.283 O
0.717 0.246 0.717 O
0.717 0.717 0.246 O
0.754 0.283 0.283 O
0.768 0.768 0.768 O

=====

Record 2
K3Ac3SnO8 | the Alexandria database | PBE-GGA | optimized geometry; E_tot = -94.74 eV per cell; SG = R-3m
1.0
3.725 2.151 6.353
-3.725 2.151 6.353
0.000 -4.302 6.353
K Ac Sn O
3 3 1 8
direct
0.000 0.500 0.500 K
0.500 0.000 0.500 K
0.500 0.500 0.000 K
0.000 0.000 0.500 Ac
0.000 0.500 0.000 Ac
0.500 0.000 0.000 Ac
0.500 0.500 0.500 Sn
0.231 0.231 0.231 O
0.270 0.705 0.705 O
0.295 0.295 0.730 O
0.295 0.730 0.295 O
0.705 0.270 0.705 O
0.705 0.705 0.270 O
0.730 0.295 0.295 O
0.769 0.769 0.769 O

=====

Record 3
K4Ac3SnO8 | the Alexandria database | PBE-GGA | optimized geometry; E_tot = -95.89 eV per cell; SG = R-3m
1.0
3.771 2.177 6.367
-3.771 2.177 6.367
0.000 -4.354 6.367
K Ac Sn O
4 3 1 8
direct
0.000 0.000 0.000 K
0.000 0.500 0.500 K
0.500 0.000 0.500 K
0.500 0.500 0.000 K
0.000 0.000 0.500 Ac
0.000 0.500 0.000 Ac
0.500 0.000 0.000 Ac
0.500 0.500 0.500 Sn
0.232 0.232 0.232 O
0.248 0.723 0.723 O
0.277 0.277 0.752 O
0.277 0.752 0.277 O
0.723 0.248 0.723 O
0.723 0.723 0.248 O
0.752 0.277 0.277 O
0.768 0.768 0.768 O

=====

Record 4
K3SrAc2O6 | the Alexandria database | PBE-GGA | optimized geometry; E_tot = -70.62 eV per cell; SG = C2/m
1.0
3.299 -5.722 0.000
3.299 5.722 0.000
-2.191 0.000 6.363
K Sr Ac O
3 1 2 6
direct
0.000 0.000 0.000 K
0.338 0.662 0.000 K
0.662 0.338 0.000 K
0.500 0.500 0.500 Sr
0.167 0.833 0.500 Ac
0.833 0.167 0.500 Ac
0.090 0.433 0.300 O
0.224 0.224 0.700 O
0.433 0.090 0.300 O
0.567 0.910 0.700 O
0.776 0.776 0.300 O
0.910 0.567 0.700 O

=====

Record 5
KSrAcO3 | the Alexandria database | PBE-GGA | optimized geometry; E_tot = -73.74 eV per cell; SG = P2_1/m
1.0
6.555 0.000 0.000
0.000 3.927 0.000
-1.700 0.000 9.592
K Sr Ac O
2 2 2 6
direct
0.123 0.250 0.164 K
0.877 0.750 0.836 K
0.375 0.250 0.862 Sr
0.625 0.750 0.138 Sr
0.259 0.750 0.540 Ac
0.741 0.250 0.460 Ac
0.059 0.250 0.634 O
0.284 0.750 0.977 O
0.489 0.750 0.369 O
0.511 0.250 0.631 O
0.716 0.250 0.023 O
0.941 0.750 0.366 O

=====

Record 6
K2SrAcO4 | the Alexandria database | PBE-GGA | optimized geometry; E_tot = -45.23 eV per cell; SG = P2/m
1.0
6.497 0.000 0.000
0.000 3.827 0.000
-2.088 0.000 6.348
K Sr Ac O
2 1 1 4
direct
0.000 0.000 0.000 K
0.500 0.500 0.000 K
0.000 0.500 0.500 Sr
0.500 0.000 0.500 Ac
0.249 0.000 0.700 O
0.272 0.500 0.297 O
0.728 0.500 0.703 O
0.751 0.000 0.300 O

=====

Record 7
KAcTa2O7 | the Alexandria database | PBE-GGA | optimized geometry; E_tot = -95.99 eV per cell; SG = P4/mmm
1.0
3.920 0.000 0.000
0.000 3.920 0.000
0.000 0.000 11.404
K Ac Ta O
1 1 2 7
direct
0.000 0.000 0.000 K
0.000 0.000 0.500 Ac
0.500 0.500 0.291 Ta
0.500 0.500 0.709 Ta
0.000 0.500 0.328 O
0.000 0.500 0.672 O
0.500 0.000 0.328 O
0.500 0.000 0.672 O
0.500 0.500 0.133 O
0.500 0.500 0.500 O
0.500 0.500 0.867 O

=====

Record 8
K3AcTa2O9 | the Alexandria database | PBE-GGA | optimized geometry; E_tot = -111.58 eV per cell; SG = P-3m1
1.0
6.037 0.000 0.000
-3.019 5.229 0.000
0.000 0.000 7.730
K Ac Ta O
3 1 2 9
direct
0.000 0.000 0.000 K
0.333 0.667 0.700 K
0.667 0.333 0.300 K
0.000 0.000 0.500 Ac
0.333 0.667 0.157 Ta
0.667 0.333 0.843 Ta
0.000 0.500 0.000 O
0.180 0.359 0.294 O
0.180 0.820 0.294 O
0.359 0.180 0.706 O
0.500 0.000 0.000 O
0.500 0.500 0.000 O
0.641 0.820 0.294 O
0.820 0.180 0.706 O
0.820 0.641 0.706 O

=====

Record 9
K3Ac3TaO8 | the Alexandria database | PBE-GGA | optimized geometry; E_tot = -106.08 eV per cell; SG = R-3m
1.0
3.696 2.134 6.431
-3.696 2.134 6.431
0.000 -4.268 6.431
K Ac Ta O
3 3 1 8
direct
0.000 0.500 0.500 K
0.500 0.000 0.500 K
0.500 0.500 0.000 K
0.000 0.000 0.500 Ac
0.000 0.500 0.000 Ac
0.500 0.000 0.000 Ac
0.500 0.500 0.500 Ta
0.235 0.235 0.235 O
0.287 0.691 0.691 O
0.309 0.309 0.713 O
0.309 0.713 0.309 O
0.691 0.287 0.691 O
0.691 0.691 0.287 O
0.713 0.309 0.309 O
0.765 0.765 0.765 O

=====

Record 10
K3Ac3TbO8 | the Alexandria database | PBE-GGA | optimized geometry; E_tot = -98.65 eV per cell; SG = R-3m
1.0
3.779 2.182 6.363
-3.779 2.182 6.363
0.000 -4.363 6.363
K Ac Tb O
3 3 1 8
direct
0.000 0.500 0.500 K
0.500 0.000 0.500 K
0.500 0.500 0.000 K
0.000 0.000 0.500 Ac
0.000 0.500 0.000 Ac
0.500 0.000 0.000 Ac
0.500 0.500 0.500 Tb
0.232 0.232 0.232 O
0.250 0.715 0.715 O
0.285 0.285 0.750 O
0.285 0.750 0.285 O
0.715 0.250 0.715 O
0.715 0.715 0.250 O
0.750 0.285 0.285 O
0.768 0.768 0.768 O

=====

Record 11
K3Ac2TbO6 | the Alexandria database | PBE-GGA | optimized geometry; E_tot = -77.21 eV per cell; SG = C2/m
1.0
3.242 -5.623 0.000
3.242 5.623 0.000
-2.145 0.000 6.334
K Ac Tb O
3 2 1 6
direct
0.000 0.000 0.000 K
0.341 0.659 0.000 K
0.659 0.341 0.000 K
0.167 0.833 0.500 Ac
0.833 0.167 0.500 Ac
0.500 0.500 0.500 Tb
0.124 0.436 0.308 O
0.250 0.250 0.691 O
0.436 0.124 0.308 O
0.564 0.876 0.692 O
0.750 0.750 0.309 O
0.876 0.564 0.692 O

=====

Record 12
KAcTc2O8 | the Alexandria database | PBE-GGA | optimized geometry; E_tot = -88.49 eV per cell; SG = P-3
1.0
6.170 0.000 0.000
-3.085 5.343 0.000
0.000 0.000 7.909
K Ac Tc O
1 1 2 8
direct
0.000 0.000 0.000 K
0.000 0.000 0.500 Ac
0.333 0.667 0.785 Tc
0.667 0.333 0.215 Tc
0.174 0.824 0.705 O
0.176 0.350 0.705 O
0.333 0.667 0.005 O
0.350 0.174 0.295 O
0.650 0.826 0.705 O
0.667 0.333 0.995 O
0.824 0.650 0.295 O
0.826 0.176 0.295 O

=====

| no. | formation energy (no corrections) (kJ/mol of atoms) |
| --- | --- |
| 1 | -247.2 |
| 2 | -228.0 |
| 3 | -214.1 |
| 4 | -222.5 |
| 5 | -242.9 |
| 6 | -210.0 |
| 7 | -284.0 |
| 8 | -230.6 |
| 9 | -250.5 |
| 10 | -249.2 |
| 11 | -251.8 |
| 12 | -184.1 |